The following is a DFT calculation (PBE) of a relaxed TiInCl3 crystal.

Computed properties:
Raw formation energy (eV per atom): -0.14
E_tot (eV/atom): -3.37

Cell: 5.3680 5.3680 5.3680 Å, 90.00 90.00 90.00°
Space group Pm-3m (No. 221)
Inequivalent atoms, fractional coordinates:
Ti (0.0000, 0.0000, 0.0000) x1
In (0.5000, 0.5000, 0.5000) x1
Cl (0.0000, 0.5000, 0.5000) x3

The following is a DFT calculation (PBE) of a relaxed CaAsRu2 crystal.

Computed properties:
E_tot (eV/atom): -6.33
Energy relative to the elements (eV per atom): -0.026

Cell: 3.0782 4.5066 5.2045 Å, 90.00 104.89 90.00°
Space group Pm (No. 6)
Inequivalent atoms, fractional coordinates:
Ca (0.0000, 0.0000, 0.0000) x1
As (0.4004, 0.5000, 0.7492) x1
Ru (0.3254, 0.0000, 0.5090) x1
Ru (0.7356, 0.5000, 0.3655) x1

The following is a DFT calculation (PBE) of a relaxed MgHg2I2 crystal.

Computed properties:
Raw formation energy (eV per atom): -0.28
E_tot (eV/atom): -1.34

Cell: 4.0406 4.0406 20.9474 Å, 90.00 90.00 90.00°
Space group I4/mmm (No. 139)
Inequivalent atoms, fractional coordinates:
Mg (0.0000, 0.0000, 0.0000) x2
Hg (0.0000, 0.5000, 0.2500) x4
I (0.0000, 0.0000, 0.4146) x4

The following is a DFT calculation (PBE) of a relaxed CdGeP2 crystal.

Computed properties:
E_tot (eV/atom): -3.81
Energy relative to the elements (eV per atom): 0.279

Cell: 3.6854 3.6854 22.6076 Å, 90.00 90.00 120.00°
Space group R-3m (No. 166, hexagonal axes)
Inequivalent atoms, fractional coordinates:
Cd (0.0000, 0.0000, 0.0000) x3
Ge (0.0000, 0.0000, 0.5000) x3
P (0.0000, 0.0000, 0.1086) x6

The following is a DFT calculation (PBE) of a relaxed VReAuN2 crystal.

Computed properties:
Raw formation energy (eV per atom): 1.27
E_tot (eV/atom): -7.03

Cell: 3.7756 3.7756 5.3036 Å, 90.00 90.00 90.00°
Space group P4/mmm (No. 123)
Inequivalent atoms, fractional coordinates:
V (0.0000, 0.0000, 0.0000) x1
Re (0.0000, 0.0000, 0.5000) x1
Au (0.5000, 0.5000, 0.5000) x1
N (0.0000, 0.5000, 0.0000) x2

The following is a DFT calculation (PBE) of a relaxed TaAs4 crystal.

Computed properties:
E_tot (eV/atom): -5.49
Energy relative to the elements (eV per atom): 0.598

Cell: 4.9851 4.9851 4.9851 Å, 90.00 90.00 90.00°
Space group Pm-3m (No. 221)
Inequivalent atoms, fractional coordinates:
Ta (0.0000, 0.0000, 0.0000) x1
As (0.0000, 0.0000, 0.5000) x3
As (0.5000, 0.5000, 0.5000) x1

The following is a DFT calculation (PBE) of a relaxed ScTi2CrIn crystal.

Computed properties:
E_tot (eV/atom): -5.53
Energy relative to the elements (eV per atom): 1.365

Cell: 5.0801 5.0801 4.8517 Å, 90.00 90.00 90.00°
Space group P4/mmm (No. 123)
Inequivalent atoms, fractional coordinates:
Sc (0.0000, 0.0000, 0.0000) x1
Ti (0.0000, 0.5000, 0.5000) x2
Cr (0.5000, 0.5000, 0.0000) x1
In (0.5000, 0.5000, 0.5000) x1

The following is a DFT calculation (PBE) of a relaxed CaAcPm2 crystal.

Computed properties:
E_tot (eV/atom): -3.74
Energy relative to the elements (eV per atom): 0.165

Cell: 3.7090 3.7090 39.4282 Å, 90.00 90.00 120.00°
Space group R-3m (No. 166, hexagonal axes)
Inequivalent atoms, fractional coordinates:
Ca (0.0000, 0.0000, 0.0000) x3
Ac (0.0000, 0.0000, 0.5000) x3
Pm (0.0000, 0.0000, 0.0895) x6

The following is a DFT calculation (PBE) of a relaxed PrMnC crystal.

Computed properties:
E_tot (eV/atom): -7.54
Energy relative to the elements (eV per atom): 0.188

Cell: 3.3967 3.3967 4.5596 Å, 90.00 90.00 120.00°
Space group P-6m2 (No. 187)
Inequivalent atoms, fractional coordinates:
Pr (0.0000, 0.0000, 0.0000) x1
Mn (0.6667, 0.3333, 0.5000) x1
C (0.3333, 0.6667, 0.5000) x1

The following is a DFT calculation (PBE) of a relaxed MnTcSe2 crystal.

Computed properties:
Raw formation energy (eV per atom): 0.00
E_tot (eV/atom): -6.63

Cell: 3.2974 3.3603 12.4764 Å, 90.00 90.00 90.00°
Space group Imm2 (No. 44)
Inequivalent atoms, fractional coordinates:
Mn (0.0000, 0.0000, 0.0000) x2
Tc (0.0000, 0.5000, 0.2582) x2
Se (0.0000, 0.0000, 0.4193) x2
Se (0.0000, 0.5000, 0.6712) x2

The following is a DFT calculation (PBE) of a relaxed MgRuAu2 crystal.

Computed properties:
E_tot (eV/atom): -4.35
Energy relative to the elements (eV per atom): 0.011

Cell: 4.0583 4.0583 8.1401 Å, 90.00 90.00 90.00°
Space group I-4m2 (No. 119)
Inequivalent atoms, fractional coordinates:
Mg (0.0000, 0.0000, 0.0000) x2
Ru (0.0000, 0.5000, 0.7500) x2
Au (0.0000, 0.0000, 0.5000) x2
Au (0.0000, 0.5000, 0.2500) x2

The following is a DFT calculation (PBE) of a relaxed Pm4CdCo2 crystal.

Computed properties:
E_tot (eV/atom): -4.92
Energy relative to the elements (eV per atom): -0.048

Cell: 7.2579 7.2584 7.7002 Å, 104.54 104.43 95.86°
Space group P1 (No. 1)
Inequivalent atoms, fractional coordinates:
Pm (0.0000, 0.0000, 0.0000) x1
Pm (0.0008, 0.5260, 0.1429) x1
Pm (0.0202, 0.4684, 0.6428) x1
Pm (0.4047, 0.9327, 0.3578) x1
Pm (0.4618, 0.4679, 0.9911) x1
Pm (0.4638, 0.9127, 0.8579) x1
Pm (0.4655, 0.4720, 0.5108) x1
Pm (0.9306, 0.9310, 0.4982) x1
Cd (0.7047, 0.2273, 0.7498) x1
Cd (0.7158, 0.2166, 0.2506) x1
Co (0.2015, 0.7235, 0.9828) x1
Co (0.2086, 0.7313, 0.5183) x1
Co (0.2888, 0.1687, 0.6486) x1
Co (0.7639, 0.6427, 0.8535) x1

The following is a DFT calculation (PBE) of a relaxed ReAu3Se crystal.

Computed properties:
Raw formation energy (eV per atom): 1.44
E_tot (eV/atom): -3.71

Cell: 5.0177 5.0177 5.0177 Å, 90.00 90.00 90.00°
Space group Pm-3m (No. 221)
Inequivalent atoms, fractional coordinates:
Re (0.0000, 0.0000, 0.0000) x1
Au (0.0000, 0.0000, 0.5000) x3
Se (0.5000, 0.5000, 0.5000) x1